Record 1
DFT (GGA-PBE) results for Nd3Dy2Ho7 after structural relaxation.

Lattice parameters (Å, degrees): 6.336 3.529 17.513 90.00 96.27 90.00
Fractional positions:
Nd: 0.000 0.000 0.000
Nd: 0.047 0.500 0.659
Nd: 0.953 0.500 0.341
Dy: 0.444 0.000 0.326
Dy: 0.556 0.000 0.674
Ho: 0.229 0.500 0.166
Ho: 0.247 0.000 0.500
Ho: 0.277 0.000 0.834
Ho: 0.500 0.500 0.000
Ho: 0.723 0.000 0.166
Ho: 0.753 0.000 0.500
Ho: 0.771 0.500 0.834

- crystal system = monoclinic
- space group = P2/m (10)
- spin magnetization (μB per formula unit) = 0.000
- electronic total energy (eV/f.u.) = -54.515

***

Record 2
DFT (GGA-PBE) results for Li2LaPd2 after structural relaxation.

Lattice parameters (Å, degrees): 7.511 7.511 3.174 90.00 90.00 90.00
Fractional positions:
Li: 0.112 0.388 0.000
Li: 0.388 0.888 0.000
Li: 0.612 0.112 0.000
Li: 0.888 0.612 0.000
La: 0.000 0.000 0.000
La: 0.500 0.500 0.000
Pd: 0.181 0.681 0.500
Pd: 0.319 0.181 0.500
Pd: 0.681 0.819 0.500
Pd: 0.819 0.319 0.500

- crystal system = tetragonal
- space group = P4/mbm (127)
- spin magnetization (μB per formula unit) = 0.000
- polymorph energy (0 for the lowest one) (eV/atom) = 0.109

***

Record 3
DFT (GGA-PBE) results for CaTaTe after structural relaxation.

Lattice parameters (Å, degrees): 4.150 4.150 8.415 90.00 90.00 90.00
Fractional positions:
Ca: 0.250 0.250 0.143
Ca: 0.750 0.750 0.857
Ta: 0.250 0.750 0.500
Ta: 0.750 0.250 0.500
Te: 0.250 0.250 0.746
Te: 0.750 0.750 0.254

- crystal system = tetragonal
- space group = P4/nmm (129)
- spin magnetization (μB per formula unit) = 0.426
- uncorrected formation energy (eV per atom) = -0.340
- polymorph energy (0 for the lowest one) (eV/atom) = 0.000

***

Record 4
DFT (GGA-PBE) results for BeMoPt after structural relaxation.

Lattice parameters (Å, degrees): 5.427 5.427 5.427 150.35 150.35 42.43
Fractional positions:
Be: 0.000 0.000 0.000
Mo: 0.337 0.337 0.000
Pt: 0.635 0.635 0.000

- crystal system = tetragonal
- space group = I4mm (107)
- spin magnetization (μB per formula unit) = 0.000
- polymorph energy (0 for the lowest one) (eV/atom) = 0.043

***

Record 5
DFT (GGA-PBE) results for NaTaAs2 after structural relaxation.

Lattice parameters (Å, degrees): 7.948 7.948 7.948 25.94 25.94 25.94
Fractional positions:
Na: 0.000 0.000 0.000
Ta: 0.500 0.500 0.500
As: 0.238 0.238 0.238
As: 0.762 0.762 0.762

- crystal system = trigonal
- space group = R-3m (166)
- spin magnetization (μB per formula unit) = 0.000
- polymorph energy (0 for the lowest one) (eV/atom) = 0.000

***

Record 6
DFT (GGA-PBE) results for TaSeN2F after structural relaxation.

Lattice parameters (Å, degrees): 4.000 4.000 3.809 90.00 90.00 90.00
Fractional positions:
Ta: 0.000 0.000 0.000
Se: 0.500 0.500 0.000
N: 0.000 0.500 0.500
N: 0.500 0.000 0.500
F: 0.500 0.500 0.500

- crystal system = tetragonal
- space group = P4/mmm (123)
- spin magnetization (μB per formula unit) = 0.075
- uncorrected formation energy (eV per atom) = 1.641
- polymorph energy (0 for the lowest one) (eV/atom) = 1.831

***

Record 7
DFT (GGA-PBE) results for Ho2PuScSb4 after structural relaxation.

Lattice parameters (Å, degrees): 7.491 4.344 7.506 90.00 109.44 90.00
Fractional positions:
Ho: 0.000 0.000 0.000
Ho: 0.500 0.500 0.000
Pu: 0.000 0.500 0.500
Sc: 0.500 0.000 0.500
Sb: 0.256 0.000 0.747
Sb: 0.260 0.500 0.258
Sb: 0.740 0.500 0.742
Sb: 0.744 0.000 0.253

- crystal system = monoclinic
- space group = P2/m (10)
- spin magnetization (μB per formula unit) = 5.045
- uncorrected formation energy (eV per atom) = -0.920

***

Record 8
DFT (GGA-PBE) results for Ti2FeRh after structural relaxation.

Lattice parameters (Å, degrees): 3.015 3.015 6.163 90.00 90.00 90.00
Fractional positions:
Ti: 0.000 0.000 0.235
Ti: 0.000 0.000 0.765
Fe: 0.500 0.500 0.000
Rh: 0.500 0.500 0.500

- crystal system = tetragonal
- space group = P4/mmm (123)
- spin magnetization (μB per formula unit) = 0.475
- electronic total energy (eV/f.u.) = -33.942

***

Record 9
DFT (GGA-PBE) results for CaAg2GeAu2 after structural relaxation.

Lattice parameters (Å, degrees): 6.604 6.604 6.604 132.05 132.05 70.15
Fractional positions:
Ca: 0.000 0.000 0.000
Ag: 0.250 0.750 0.500
Ag: 0.750 0.250 0.500
Ge: 0.500 0.500 0.000
Au: 0.275 0.275 0.000
Au: 0.725 0.725 0.000

- crystal system = tetragonal
- space group = I4/mmm (139)
- spin magnetization (μB per formula unit) = 0.000
- electronic total energy (eV/f.u.) = -18.513

***

Record 10
DFT (GGA-PBE) results for LaPrSm3Tm after structural relaxation.

Lattice parameters (Å, degrees): 8.128 5.163 10.285 90.00 108.38 90.00
Fractional positions:
La: 0.166 0.250 0.289
La: 0.834 0.750 0.711
Pr: 0.499 0.250 0.628
Pr: 0.501 0.750 0.372
Sm: 0.167 0.750 0.545
Sm: 0.170 0.250 0.794
Sm: 0.171 0.750 0.040
Sm: 0.829 0.250 0.960
Sm: 0.830 0.750 0.206
Sm: 0.833 0.250 0.455
Tm: 0.497 0.750 0.879
Tm: 0.503 0.250 0.121

- crystal system = monoclinic
- space group = P2_1/m (11)
- spin magnetization (μB per formula unit) = 0.000
- electronic total energy (eV/f.u.) = -28.200

***

Record 11
DFT (GGA-PBE) results for Y2ReAu after structural relaxation.

Lattice parameters (Å, degrees): 4.970 4.970 3.522 90.08 90.08 90.11
Fractional positions:
Y: 0.000 0.500 0.000
Y: 0.500 0.000 0.000
Re: 0.000 0.000 0.500
Au: 0.500 0.500 0.500

- crystal system = monoclinic
- space group = C2/m (12)
- spin magnetization (μB per formula unit) = 0.000
- polymorph energy (0 for the lowest one) (eV/atom) = 0.101

***

Record 12
DFT (GGA-PBE) results for AgAsBr5 after structural relaxation.

Lattice parameters (Å, degrees): 7.037 7.037 10.384 111.07 111.07 69.81
Fractional positions:
Ag: 0.035 0.965 0.750
Ag: 0.965 0.035 0.250
As: 0.500 0.500 0.000
As: 0.500 0.500 0.500
Br: 0.138 0.731 0.035
Br: 0.182 0.342 0.358
Br: 0.269 0.862 0.465
Br: 0.342 0.182 0.858
Br: 0.378 0.622 0.750
Br: 0.622 0.378 0.250
Br: 0.658 0.818 0.142
Br: 0.731 0.138 0.535
Br: 0.818 0.658 0.642
Br: 0.862 0.269 0.965

- crystal system = monoclinic
- space group = C2/c (15)
- spin magnetization (μB per formula unit) = 0.000
- uncorrected formation energy (eV per atom) = -0.195

***

Record 13
DFT (GGA-PBE) results for ReSbPdI2 after structural relaxation.

Lattice parameters (Å, degrees): 5.544 5.544 5.077 90.00 90.00 90.00
Fractional positions:
Re: 0.000 0.000 0.000
Sb: 0.000 0.000 0.500
Pd: 0.500 0.500 0.500
I: 0.000 0.500 0.000
I: 0.500 0.000 0.000

- crystal system = tetragonal
- space group = P4/mmm (123)
- spin magnetization (μB per formula unit) = 1.032
- uncorrected formation energy (eV per atom) = 1.047
- polymorph energy (0 for the lowest one) (eV/atom) = 0.000

***

Record 14
DFT (GGA-PBE) results for Na4Hg3Au2 after structural relaxation.

Lattice parameters (Å, degrees): 8.249 8.249 6.218 102.44 102.44 33.34
Fractional positions:
Na: 0.078 0.078 0.362
Na: 0.287 0.287 0.801
Na: 0.713 0.713 0.199
Na: 0.922 0.922 0.638
Hg: 0.352 0.352 0.329
Hg: 0.500 0.500 0.000
Hg: 0.648 0.648 0.671
Au: 0.106 0.106 0.900
Au: 0.894 0.894 0.100

- crystal system = monoclinic
- space group = C2/m (12)
- spin magnetization (μB per formula unit) = 0.000
- electronic total energy (eV/f.u.) = -15.023

***

Record 15
DFT (GGA-PBE) results for TmCu2F6 after structural relaxation.

Lattice parameters (Å, degrees): 6.387 6.387 5.207 90.00 90.00 120.00
Fractional positions:
Tm: 0.000 0.000 0.000
Cu: 0.333 0.667 0.239
Cu: 0.667 0.333 0.761
F: 0.161 0.323 0.229
F: 0.161 0.839 0.229
F: 0.323 0.161 0.771
F: 0.677 0.839 0.229
F: 0.839 0.161 0.771
F: 0.839 0.677 0.771

- crystal system = trigonal
- space group = P-3m1 (164)
- spin magnetization (μB per formula unit) = 1.001
- uncorrected formation energy (eV per atom) = -2.468
- polymorph energy (0 for the lowest one) (eV/atom) = 0.085

***

Record 16
DFT (GGA-PBE) results for Ho2Ga5Ni3 after structural relaxation.

Lattice parameters (Å, degrees): 12.246 12.246 6.548 90.00 90.00 160.40
Fractional positions:
Ho: 0.019 0.981 0.500
Ho: 0.326 0.674 0.537
Ho: 0.674 0.326 0.037
Ho: 0.981 0.019 0.000
Ga: 0.100 0.900 0.849
Ga: 0.206 0.794 0.343
Ga: 0.211 0.789 0.745
Ga: 0.375 0.625 0.010
Ga: 0.447 0.553 0.680
Ga: 0.553 0.447 0.180
Ga: 0.625 0.375 0.510
Ga: 0.789 0.211 0.245
Ga: 0.794 0.206 0.843
Ga: 0.900 0.100 0.349
Ni: 0.107 0.893 0.236
Ni: 0.273 0.727 0.046
Ni: 0.450 0.550 0.286
Ni: 0.550 0.450 0.786
Ni: 0.727 0.273 0.546
Ni: 0.893 0.107 0.736

- crystal system = orthorhombic
- space group = Cmc2_1 (36)
- spin magnetization (μB per formula unit) = 0.000
- electronic total energy (eV/f.u.) = -47.376

***

Record 17
DFT (GGA-PBE) results for NbInTcRh after structural relaxation.

Lattice parameters (Å, degrees): 4.544 4.544 4.544 60.00 60.00 60.00
Fractional positions:
Nb: 0.000 0.000 0.000
In: 0.500 0.500 0.500
Tc: 0.250 0.250 0.250
Rh: 0.750 0.750 0.750

- crystal system = cubic
- space group = F-43m (216)
- spin magnetization (μB per formula unit) = 0.000
- electronic total energy (eV/f.u.) = -31.534

***

Record 18
DFT (GGA-PBE) results for ErTh2Bi2N2 after structural relaxation.

Lattice parameters (Å, degrees): 8.767 8.767 8.767 150.63 150.63 42.02
Fractional positions:
Er: 0.000 0.000 0.000
Th: 0.400 0.400 0.000
Th: 0.600 0.600 0.000
Bi: 0.195 0.195 0.000
Bi: 0.805 0.805 0.000
N: 0.000 0.500 0.500
N: 0.500 0.000 0.500

- crystal system = tetragonal
- space group = I4/mmm (139)
- spin magnetization (μB per formula unit) = 0.000
- uncorrected formation energy (eV per atom) = -0.922

***

Record 19
DFT (GGA-PBE) results for Na2Tl2HgBi2 after structural relaxation.

Lattice parameters (Å, degrees): 5.708 6.141 6.281 98.15 104.93 96.00
Fractional positions:
Na: 0.068 0.273 0.151
Na: 0.932 0.727 0.849
Tl: 0.361 0.428 0.725
Tl: 0.639 0.572 0.275
Hg: 0.500 0.000 0.000
Bi: 0.208 0.853 0.426
Bi: 0.792 0.147 0.574

- crystal system = triclinic
- space group = P-1 (2)
- spin magnetization (μB per formula unit) = 0.000
- electronic total energy (eV/f.u.) = -16.416

***

Record 20
DFT (GGA-PBE) results for Pm6SmSc6 after structural relaxation.

Lattice parameters (Å, degrees): 6.388 6.388 10.844 90.00 90.00 116.18
Fractional positions:
Pm: 0.000 0.000 0.170
Pm: 0.000 0.000 0.830
Pm: 0.289 0.711 0.000
Pm: 0.353 0.647 0.500
Pm: 0.647 0.353 0.500
Pm: 0.711 0.289 0.000
Sm: 0.000 0.000 0.500
Sc: 0.000 0.500 0.271
Sc: 0.000 0.500 0.729
Sc: 0.500 0.000 0.271
Sc: 0.500 0.000 0.729
Sc: 0.500 0.500 0.215
Sc: 0.500 0.500 0.785

- crystal system = orthorhombic
- space group = Cmmm (65)
- spin magnetization (μB per formula unit) = 0.036
- electronic total energy (eV/f.u.) = -68.627

***

Record 21
DFT (GGA-PBE) results for LiCd2Pd after structural relaxation.

Lattice parameters (Å, degrees): 4.633 4.633 4.633 60.00 60.00 60.00
Fractional positions:
Li: 0.000 0.000 0.000
Cd: 0.250 0.250 0.250
Cd: 0.750 0.750 0.750
Pd: 0.500 0.500 0.500

- crystal system = cubic
- space group = Fm-3m (225)
- spin magnetization (μB per formula unit) = 0.000
- polymorph energy (0 for the lowest one) (eV/atom) = 0.000

***

Record 22
DFT (GGA-PBE) results for Hf4HPt2 after structural relaxation.

Lattice parameters (Å, degrees): 7.762 7.762 7.762 149.04 149.04 44.35
Fractional positions:
Hf: 0.000 0.500 0.500
Hf: 0.182 0.182 0.000
Hf: 0.500 0.000 0.500
Hf: 0.818 0.818 0.000
H: 0.000 0.000 0.000
Pt: 0.361 0.361 0.000
Pt: 0.639 0.639 0.000

- crystal system = tetragonal
- space group = I4/mmm (139)
- spin magnetization (μB per formula unit) = 0.000
- polymorph energy (0 for the lowest one) (eV/atom) = 0.000

***

Record 23
DFT (GGA-PBE) results for MgTl5In after structural relaxation.

Lattice parameters (Å, degrees): 5.972 5.972 12.073 101.15 101.15 92.54
Fractional positions:
Mg: 0.000 0.000 0.000
Mg: 0.000 0.000 0.500
Tl: 0.036 0.964 0.750
Tl: 0.056 0.512 0.142
Tl: 0.225 0.500 0.443
Tl: 0.488 0.944 0.358
Tl: 0.500 0.225 0.943
Tl: 0.500 0.775 0.057
Tl: 0.512 0.056 0.642
Tl: 0.775 0.500 0.557
Tl: 0.944 0.488 0.858
Tl: 0.964 0.036 0.250
In: 0.411 0.589 0.750
In: 0.589 0.411 0.250

- crystal system = monoclinic
- space group = C2/c (15)
- spin magnetization (μB per formula unit) = 0.000
- electronic total energy (eV/f.u.) = -15.775

***

Record 24
DFT (GGA-PBE) results for Be2InPO6 after structural relaxation.

Lattice parameters (Å, degrees): 7.164 7.164 5.022 106.43 106.43 95.75
Fractional positions:
Be: 0.147 0.305 0.364
Be: 0.305 0.147 0.864
Be: 0.695 0.853 0.136
Be: 0.853 0.695 0.636
In: 0.104 0.896 0.250
In: 0.896 0.104 0.750
P: 0.297 0.703 0.750
P: 0.703 0.297 0.250
O: 0.104 0.687 0.843
O: 0.138 0.192 0.599
O: 0.192 0.138 0.099
O: 0.268 0.525 0.480
O: 0.313 0.896 0.657
O: 0.475 0.732 0.020
O: 0.525 0.268 0.980
O: 0.687 0.104 0.343
O: 0.732 0.475 0.520
O: 0.808 0.862 0.901
O: 0.862 0.808 0.401
O: 0.896 0.313 0.157

- crystal system = monoclinic
- space group = C2/c (15)
- spin magnetization (μB per formula unit) = 0.000
- uncorrected formation energy (eV per atom) = -2.252